[1]
# CdPb2Br

Crystalline CdPb2Br at its relaxed geometry (GGA-PBE, the Alexandria database).

Values from the calculation:
Energy above the most stable polymorph in this dataset: 44 meV/atom
Formation energy from raw total energies: -0.137 eV per atom
SG: Cmm2
Magnetization: 0.0000 μB/atom

Unit cell a=3.859 b=6.153 c=10.064 alpha=90.00 beta=90.00 gamma=90.00
Fractional positions:
Cd1 0.000 0.000 0.000
Cd2 0.500 0.500 0.000
Pb1 0.000 0.000 0.520
Pb2 0.000 0.500 0.243
Pb3 0.500 0.000 0.243
Pb4 0.500 0.500 0.520
Br1 0.000 0.500 0.797
Br2 0.500 0.000 0.797



[2]
# Rb2Li2AgF6

Crystalline Rb2Li2AgF6 at its relaxed geometry (GGA-PBE, the Alexandria database).

Values from the calculation:
Formation energy from raw total energies: -2.308 eV per atom
SG: R-3m
Magnetization: 0.0915 μB/atom

Unit cell a=6.814 b=6.814 c=6.814 alpha=53.38 beta=53.38 gamma=53.38
Fractional positions:
Rb1 0.216 0.216 0.216
Rb2 0.784 0.784 0.784
Li1 0.414 0.414 0.414
Li2 0.586 0.586 0.586
Ag1 0.000 0.000 0.000
F1 0.246 0.753 0.753
F2 0.247 0.247 0.754
F3 0.247 0.754 0.247
F4 0.753 0.246 0.753
F5 0.753 0.753 0.246
F6 0.754 0.247 0.247



[3]
# Ac2Sm3Ru2

Crystalline Ac2Sm3Ru2 at its relaxed geometry (GGA-PBE, the Alexandria database).

Values from the calculation:
SG: C2/m
Magnetization: 0.0000 μB/atom
Formation energy from the elements: -1.46 eV/f.u.

Unit cell a=12.687 b=4.028 c=9.270 alpha=90.00 beta=116.63 gamma=90.00
Fractional positions:
Ac1 0.165 0.000 0.295
Ac2 0.335 0.500 0.705
Ac3 0.665 0.500 0.295
Ac4 0.835 0.000 0.705
Sm1 0.000 0.500 0.500
Sm2 0.124 0.500 0.919
Sm3 0.376 0.000 0.081
Sm4 0.500 0.000 0.500
Sm5 0.624 0.000 0.919
Sm6 0.876 0.500 0.081
Ru1 0.177 0.000 0.740
Ru2 0.323 0.500 0.260
Ru3 0.677 0.500 0.740
Ru4 0.823 0.000 0.260